# 1
Below is KBe3S after structural relaxation, with properties calculated at the PBE level.

Values from the calculation:
Energy relative to the elements, uncorrected ... 2.404 eV per atom
Crystal system ... cubic

Lattice parameters (Å, degrees): 5.8365 5.8365 5.8365 90.00 90.00 90.00
Last column: nearest neighbours and their distance in Å.
Fractional positions:
K1 0.0000 0.0000 0.0000  6 Be 2.92
Be1 0.0000 0.0000 0.5000  2 K 2.92
Be2 0.0000 0.5000 0.0000  2 K 2.92
Be3 0.5000 0.0000 0.0000  2 K 2.92
S1 0.5000 0.5000 0.5000  12 Be 4.13

---

# 2
Below is Re2PtCl after structural relaxation, with properties calculated at the PBE level.

Values from the calculation:
Energy relative to the elements, uncorrected ... 0.868 eV per atom
Crystal system ... tetragonal

Lattice parameters (Å, degrees): 2.7804 2.7804 7.9679 90.00 90.00 90.00
Last column: nearest neighbours and their distance in Å.
Fractional positions:
Re1 0.0000 0.0000 0.2468  4 Re 2.78, 4 Pt 2.78, 4 Cl 2.82
Re2 0.0000 0.0000 0.7532  4 Re 2.78, 4 Pt 2.78, 4 Cl 2.82
Pt1 0.5000 0.5000 0.0000  4 Pt 2.78, 8 Re 2.78
Cl1 0.5000 0.5000 0.5000  4 Cl 2.78, 8 Re 2.82

---

# 3
Below is CeMgCd11 after structural relaxation, with properties calculated at the PBE level.

Values from the calculation:
Crystal system ... monoclinic

Lattice parameters (Å, degrees): 7.6414 7.6414 7.6643 98.67 98.67 134.07
Last column: nearest neighbours and their distance in Å.
Fractional positions:
Ce1 0.0000 0.0000 0.0000  18 Cd 3.49-3.83, 2 Mg 3.84
Mg1 0.5000 0.5000 0.5000  10 Cd 2.90-3.05
Cd1 0.0000 0.0000 0.5000  8 Cd 2.94-3.07, 2 Mg 2.98
Cd2 0.0000 0.5000 0.0000  10 Cd 2.92-3.10
Cd3 0.0052 0.3539 0.3518  8 Cd 2.99-3.33, 1 Mg 3.05
Cd4 0.2918 0.5043 0.7858  1 Mg 2.90, 8 Cd 2.92-3.24
Cd5 0.3539 0.0052 0.3518  8 Cd 2.99-3.33, 1 Mg 3.05
Cd6 0.4957 0.7082 0.2142  1 Mg 2.90, 8 Cd 2.92-3.24
Cd7 0.5000 0.0000 0.0000  10 Cd 2.92-3.10
Cd8 0.5043 0.2918 0.7858  1 Mg 2.90, 8 Cd 2.92-3.24
Cd9 0.6461 0.9948 0.6482  8 Cd 2.99-3.33, 1 Mg 3.05
Cd10 0.7082 0.4957 0.2142  1 Mg 2.90, 8 Cd 2.92-3.24
Cd11 0.9948 0.6461 0.6482  8 Cd 2.99-3.33, 1 Mg 3.05

---

# 4
Below is NaBe2AlS4 after structural relaxation, with properties calculated at the PBE level.

Values from the calculation:
Energy relative to the elements, uncorrected ... -0.989 eV per atom
Crystal system ... tetragonal

Lattice parameters (Å, degrees): 5.3134 5.3134 10.4520 90.00 90.00 90.00
Last column: nearest neighbours and their distance in Å.
Fractional positions:
Na1 0.0000 0.0000 0.0000  4 S 2.55
Na2 0.5000 0.5000 0.5000  4 S 2.55
Be1 0.0000 0.5000 0.2500  4 S 2.18
Be2 0.0000 0.5000 0.7500  4 S 2.18
Be3 0.5000 0.0000 0.2500  4 S 2.18
Be4 0.5000 0.0000 0.7500  4 S 2.18
Al1 0.0000 0.0000 0.5000  4 S 2.28
Al2 0.5000 0.5000 0.0000  4 S 2.28
S1 0.2262 0.2262 0.6449  2 Be 2.18, 1 Al 2.28
S2 0.2262 0.7738 0.3551  2 Be 2.18, 1 Al 2.28
S3 0.2738 0.2738 0.1449  2 Be 2.18, 1 Al 2.28
S4 0.2738 0.7262 0.8551  2 Be 2.18, 1 Al 2.28
S5 0.7262 0.2738 0.8551  2 Be 2.18, 1 Al 2.28
S6 0.7262 0.7262 0.1449  2 Be 2.18, 1 Al 2.28
S7 0.7738 0.2262 0.3551  2 Be 2.18, 1 Al 2.28
S8 0.7738 0.7738 0.6449  2 Be 2.18, 1 Al 2.28

---

# 5
Below is SnAs2SeO after structural relaxation, with properties calculated at the PBE level.

Values from the calculation:
Energy relative to the elements, uncorrected ... 0.188 eV per atom
Crystal system ... tetragonal

Lattice parameters (Å, degrees): 4.3789 4.3789 5.0309 90.00 90.00 90.00
Last column: nearest neighbours and their distance in Å.
Fractional positions:
Sn1 0.0000 0.0000 0.0000  4 Se 3.10, 8 As 3.33
As1 0.0000 0.5000 0.5000  2 O 2.19
As2 0.5000 0.0000 0.5000  2 O 2.19
Se1 0.5000 0.5000 0.0000  2 O 2.52
O1 0.5000 0.5000 0.5000  4 As 2.19

---

# 6
Below is Sn4Pt4Pb after structural relaxation, with properties calculated at the PBE level.

Values from the calculation:
Crystal system ... tetragonal

Lattice parameters (Å, degrees): 8.9007 8.9007 5.3922 90.00 90.00 90.00
Last column: nearest neighbours and their distance in Å.
Fractional positions:
Sn1 0.0958 0.6436 0.1618  5 Pt 2.72-2.77
Sn2 0.1436 0.9042 0.6618  5 Pt 2.72-2.77
Sn3 0.3564 0.5958 0.6618  5 Pt 2.72-2.77
Sn4 0.4042 0.8564 0.1618  5 Pt 2.72-2.77
Sn5 0.5958 0.1436 0.8382  5 Pt 2.72-2.77
Sn6 0.6436 0.4042 0.3382  5 Pt 2.72-2.77
Sn7 0.8564 0.0958 0.3382  5 Pt 2.72-2.77
Sn8 0.9042 0.3564 0.8382  5 Pt 2.72-2.77
Pt1 0.0454 0.6136 0.6672  5 Sn 2.72-2.77, 1 Pt 2.83, 1 Pb 2.93
Pt2 0.1136 0.9546 0.1672  5 Sn 2.72-2.77, 1 Pt 2.83, 1 Pb 2.93
Pt3 0.3864 0.5454 0.1672  5 Sn 2.72-2.77, 1 Pt 2.83, 1 Pb 2.93
Pt4 0.4546 0.8864 0.6672  5 Sn 2.72-2.77, 1 Pt 2.83, 1 Pb 2.93
Pt5 0.5454 0.1136 0.3328  5 Sn 2.72-2.77, 1 Pt 2.83, 1 Pb 2.93
Pt6 0.6136 0.4546 0.8328  5 Sn 2.72-2.77, 1 Pt 2.83, 1 Pb 2.93
Pt7 0.8864 0.0454 0.8328  5 Sn 2.72-2.77, 1 Pt 2.83, 1 Pb 2.93
Pt8 0.9546 0.3864 0.3328  5 Sn 2.72-2.77, 1 Pt 2.83, 1 Pb 2.93
Pb1 0.2500 0.2500 0.2500  4 Pt 2.93
Pb2 0.7500 0.7500 0.7500  4 Pt 2.93

---

# 7
Below is ScCdRh after structural relaxation, with properties calculated at the PBE level.

Values from the calculation:
Crystal system ... trigonal

Lattice parameters (Å, degrees): 3.2891 3.2891 6.3707 90.00 90.00 120.00
Last column: nearest neighbours and their distance in Å.
Fractional positions:
Sc1 0.0000 0.0000 0.0000  3 Rh 2.56
Cd1 0.6667 0.3333 0.3954  3 Rh 2.85, 3 Sc 3.15
Rh1 0.3333 0.6667 0.7297  3 Sc 2.56, 3 Cd 2.85

---

# 8
Below is Er4Ag2Rh after structural relaxation, with properties calculated at the PBE level.

Values from the calculation:
Crystal system ... trigonal

Lattice parameters (Å, degrees): 8.5653 8.5653 8.5653 33.80 33.80 33.80
Last column: nearest neighbours and their distance in Å.
Fractional positions:
Er1 0.1217 0.1217 0.1217  1 Rh 2.95, 4 Ag 3.01-3.05
Er2 0.3726 0.3726 0.3726  4 Ag 3.02-3.09, 3 Rh 3.03
Er3 0.6274 0.6274 0.6274  4 Ag 3.02-3.09, 3 Rh 3.03
Er4 0.8783 0.8783 0.8783  1 Rh 2.95, 4 Ag 3.01-3.05
Ag1 0.2478 0.2478 0.2478  8 Er 3.01-3.09
Ag2 0.7522 0.7522 0.7522  8 Er 3.01-3.09
Rh1 0.0000 0.0000 0.0000  8 Er 2.95-3.03

---

# 9
Below is CaTeAs2 after structural relaxation, with properties calculated at the PBE level.

Values from the calculation:
Energy relative to the elements, uncorrected ... -0.491 eV per atom
Crystal system ... monoclinic

Lattice parameters (Å, degrees): 4.7276 4.1668 5.7847 90.00 105.53 90.00
Last column: nearest neighbours and their distance in Å.
Fractional positions:
Ca1 0.0000 0.0000 0.0000  4 As 3.01, 2 Te 3.21
Te1 0.5000 0.0000 0.5000  4 As 2.95, 2 Ca 3.21
As1 0.3275 0.5000 0.7977  1 As 2.47
As2 0.6725 0.5000 0.2023  1 As 2.47

---

# 10
Below is AcCe3Ho2Te6 after structural relaxation, with properties calculated at the PBE level.

Values from the calculation:
Energy relative to the elements, uncorrected ... -1.340 eV per atom
Crystal system ... monoclinic

Lattice parameters (Å, degrees): 7.7405 7.7405 7.8192 99.54 99.54 120.08
Last column: nearest neighbours and their distance in Å.
Fractional positions:
Ac1 0.0000 0.0000 0.0000  6 Te 3.24-3.28
Ce1 0.1561 0.8439 0.5000  6 Te 3.16-3.24
Ce2 0.5000 0.5000 0.5000  6 Te 3.11-3.23
Ce3 0.8439 0.1561 0.5000  6 Te 3.16-3.24
Ho1 0.3305 0.6695 0.0000  6 Te 3.09-3.11
Ho2 0.6695 0.3305 0.0000  6 Te 3.09-3.11
Te1 0.0839 0.4345 0.2498  2 Ho 3.09-3.11, 3 Ce 3.16-3.24, 1 Ac 3.28
Te2 0.2733 0.2733 0.7625  2 Ho 3.09, 3 Ce 3.11-3.19, 1 Ac 3.24
Te3 0.4345 0.0839 0.2498  2 Ho 3.09-3.11, 3 Ce 3.16-3.24, 1 Ac 3.28
Te4 0.5655 0.9161 0.7502  2 Ho 3.09-3.11, 3 Ce 3.16-3.24, 1 Ac 3.28
Te5 0.7267 0.7267 0.2375  2 Ho 3.09, 3 Ce 3.11-3.19, 1 Ac 3.24
Te6 0.9161 0.5655 0.7502  2 Ho 3.09-3.11, 3 Ce 3.16-3.24, 1 Ac 3.28

---

# 11
Below is Tb4Pm5Dy3 after structural relaxation, with properties calculated at the PBE level.

Values from the calculation:
Crystal system ... monoclinic

Lattice parameters (Å, degrees): 5.7152 5.7152 14.9099 106.32 106.32 61.08
Last column: nearest neighbours and their distance in Å.
Fractional positions:
Tb1 0.0620 0.0620 0.1249  2 Tb 3.31-3.52, 1 Pm 3.70, 1 Dy 3.70
Tb2 0.1782 0.1782 0.3598  1 Pm 3.14, 1 Dy 3.18, 1 Tb 3.31
Tb3 0.8218 0.8218 0.6402  1 Pm 3.14, 1 Dy 3.18, 1 Tb 3.31
Tb4 0.9380 0.9380 0.8751  2 Tb 3.31-3.52, 1 Pm 3.70, 1 Dy 3.70
Pm1 0.0000 0.0000 0.5000  2 Dy 2.90, 2 Tb 3.14
Pm2 0.3326 0.3326 0.0013  4 Pm 3.31-3.57, 1 Dy 3.56, 1 Tb 3.70
Pm3 0.4551 0.4551 0.2544  4 Dy 3.30-3.54, 3 Tb 3.56-3.67, 1 Pm 3.57
Pm4 0.5449 0.5449 0.7456  4 Dy 3.30-3.54, 3 Tb 3.56-3.67, 1 Pm 3.57
Pm5 0.6674 0.6674 0.9987  4 Pm 3.31-3.57, 1 Dy 3.56, 1 Tb 3.70
Dy1 0.2053 0.2053 0.7486  5 Pm 3.30-3.60, 3 Tb 3.59-3.68
Dy2 0.5000 0.5000 0.5000  2 Pm 2.90, 2 Tb 3.18
Dy3 0.7947 0.7947 0.2514  5 Pm 3.30-3.60, 3 Tb 3.59-3.68

---

# 12
Below is NiSb3Te after structural relaxation, with properties calculated at the PBE level.

Values from the calculation:
Energy relative to the elements, uncorrected ... -0.004 eV per atom
Crystal system ... monoclinic

Lattice parameters (Å, degrees): 6.7183 5.1459 7.4508 90.00 90.06 90.00
Last column: nearest neighbours and their distance in Å.
Fractional positions:
Ni1 0.0020 0.0000 0.2500  5 Sb 2.54-2.57, 1 Te 2.55
Ni2 0.9980 0.5000 0.7500  5 Sb 2.54-2.57, 1 Te 2.55
Sb1 0.1795 0.7488 0.5002  2 Ni 2.56-2.57
Sb2 0.1795 0.7487 0.0002  2 Ni 2.56-2.57
Sb3 0.2983 0.1991 0.7504  1 Ni 2.54
Sb4 0.7017 0.6991 0.2496  1 Ni 2.54
Sb5 0.8205 0.2487 0.9998  2 Ni 2.56-2.57
Sb6 0.8205 0.2488 0.4998  2 Ni 2.56-2.57
Te1 0.3094 0.2921 0.2504  1 Ni 2.55
Te2 0.6906 0.7921 0.7496  1 Ni 2.55

---

no.,total DFT energy (no corrections) (eV/atom)
1,-0.88
2,-7.33
3,-1.46
4,-4.62
5,-4.16
6,-5.25
7,-5.19
8,-4.83
9,-4.10
10,-5.50
11,-4.45
12,-4.26